# 1
Compound: BaZr4Fe
Source: Alexandria
Functional: GGA-PBE
Structure: relaxed

Output
For the total energy, the calculation gives -39.79 eV for the cell shown. As for the space-group type: F-43m.

a b c (Å): 5.9870 5.9870 5.9870
angles (deg): 60.00 60.00 60.00
Closest atoms and distances in Å follow each position.
Fractional coordinates of all 6 atoms:
Zr 0.3734 0.3734 0.3734  6 Zr 2.95-3.03
Fe 0.0000 0.0000 0.0000  12 Zr 3.51, 4 Ba 3.67
Zr 0.3734 0.3734 0.8799  6 Zr 2.95-3.03
Ba 0.7500 0.7500 0.7500  12 Zr 3.51, 4 Fe 3.67
Zr 0.8799 0.3734 0.3734  6 Zr 2.95-3.03
Zr 0.3734 0.8799 0.3734  6 Zr 2.95-3.03



# 2
Compound: CsCaH2CF
Source: Alexandria
Functional: GGA-PBE
Structure: relaxed

Output
For the total energy, the calculation gives -52.79 eV for the cell shown. As for the space-group type: Cm.

a b c (Å): 7.0758 5.2778 5.7851
angles (deg): 90.00 101.28 90.00
Closest atoms and distances in Å follow each position.
Fractional coordinates of all 12 atoms:
H 0.8447 0.0000 0.7476  1 C 1.13
F 0.5868 0.0000 0.1325  1 Ca 2.23
C 0.9784 0.5000 0.1678  2 H 1.12-1.13
Ca 0.9079 0.0000 0.2286  1 F 2.23, 1 C 2.49
Ca 0.9079 0.5000 0.7286  1 F 2.23, 1 C 2.49
H 0.0956 0.5000 0.3297  1 C 1.12
Cs 0.4184 0.5000 0.0882  4 F 2.89-3.14, 2 H 2.90-2.98
Cs 0.4184 0.0000 0.5882  4 F 2.89-3.14, 2 H 2.90-2.98
F 0.5868 0.5000 0.6325  1 Ca 2.23
C 0.9784 0.0000 0.6678  2 H 1.12-1.13
H 0.8447 0.5000 0.2476  1 C 1.13
H 0.0956 0.0000 0.8297  1 C 1.12



# 3
Compound: La3TbCe2Te6
Source: Alexandria
Functional: GGA-PBE
Structure: relaxed

Output
As for the space-group type: C2/m. As for the formation energy (no corrections): -1.472 eV/atom.

a b c (Å): 7.7972 7.7972 7.8776
angles (deg): 99.51 99.51 120.11
Closest atoms and distances in Å follow each position.
Fractional coordinates of all 12 atoms:
Te 0.5920 0.9203 0.7597  1 Tb 3.12, 2 Ce 3.17, 3 La 3.22-3.25
Tb 0.0000 0.0000 0.0000  6 Te 3.12-3.13
La 0.1686 0.8314 0.5000  6 Te 3.22-3.25
Te 0.9203 0.5920 0.7597  1 Tb 3.12, 2 Ce 3.17, 3 La 3.22-3.25
Ce 0.3341 0.6659 0.0000  6 Te 3.17-3.18
Te 0.2467 0.2467 0.7570  1 Tb 3.13, 2 Ce 3.18, 3 La 3.23-3.26
Te 0.7533 0.7533 0.2430  1 Tb 3.13, 2 Ce 3.18, 3 La 3.23-3.26
La 0.5000 0.5000 0.5000  6 Te 3.22-3.26
La 0.8314 0.1686 0.5000  6 Te 3.22-3.25
Te 0.0797 0.4080 0.2403  1 Tb 3.12, 2 Ce 3.17, 3 La 3.22-3.25
Ce 0.6659 0.3341 0.0000  6 Te 3.17-3.18
Te 0.4080 0.0797 0.2403  1 Tb 3.12, 2 Ce 3.17, 3 La 3.22-3.25



# 4
Compound: Li2La2TbTl2
Source: Alexandria
Functional: GGA-PBE
Structure: relaxed

Output
For the total energy, the calculation gives -24.66 eV for the cell shown. As for the space-group type: R-3m.

a b c (Å): 4.8559 4.8559 9.4138
angles (deg): 75.05 75.05 60.00
Closest atoms and distances in Å follow each position.
Fractional coordinates of all 7 atoms:
Tb 0.0000 0.0000 0.0000  6 Li 3.28, 6 Tl 3.30, 2 La 3.66
Li 0.6033 0.6033 0.1902  3 Tl 2.80
Li 0.3967 0.3967 0.8098  3 Tl 2.80
Tl 0.7314 0.7314 0.8057  3 Li 2.80
La 0.8643 0.8643 0.4071  3 La 3.26, 4 Tl 3.39-3.58, 3 Li 3.41
Tl 0.2686 0.2686 0.1943  3 Li 2.80
La 0.1357 0.1357 0.5929  3 La 3.26, 4 Tl 3.39-3.58, 3 Li 3.41



# 5
Compound: KBe2InCo
Source: Alexandria
Functional: GGA-PBE
Structure: relaxed

Output
For the total energy, the calculation gives -11.11 eV for the cell shown. As for the space-group type: P4/mmm.

a b c (Å): 4.6602 6.3123 4.6602
angles (deg): 90.00 90.00 90.00
Closest atoms and distances in Å follow each position.
Fractional coordinates of all 5 atoms:
Be 0.0000 0.0000 0.5000  2 In 2.33
In 0.0000 0.0000 0.0000  4 Be 2.33
Co 0.5000 0.5000 0.5000  4 K 3.30
K 0.0000 0.5000 0.0000  2 In 3.16, 4 Co 3.30
Be 0.5000 0.0000 0.0000  2 In 2.33



# 6
Compound: RuRh3W
Source: Alexandria
Functional: GGA-PBE
Structure: relaxed

Output
For the total energy, the calculation gives -38.25 eV for the cell shown. As for the space-group type: R-3m.

a b c (Å): 5.2798 5.2798 5.0861
angles (deg): 58.73 58.73 60.00
Closest atoms and distances in Å follow each position.
Fractional coordinates of all 5 atoms:
Rh 0.9750 0.4750 0.5750  2 Ru 2.54, 4 Rh 2.64, 2 W 2.64
Rh 0.9750 0.9750 0.5750  2 Ru 2.54, 4 Rh 2.64, 2 W 2.64
Ru 0.9750 0.9750 0.0750  6 Rh 2.54
W 0.4750 0.4750 0.5750  6 Rh 2.64
Rh 0.4750 0.9750 0.5750  2 Ru 2.54, 4 Rh 2.64, 2 W 2.64



# 7
Compound: KNdAuSe2
Source: Alexandria
Functional: GGA-PBE
Structure: relaxed

Output
As for the space-group type: P2/c. As for the formation energy (no corrections): -1.093 eV/atom.

a b c (Å): 5.0240 7.7284 8.2314
angles (deg): 99.33 90.00 90.00
Closest atoms and distances in Å follow each position.
Fractional coordinates of all 10 atoms:
Nd 0.4917 0.0000 0.2500  4 Se 2.95-2.96, 4 Au 3.22-3.28
Au 0.0000 0.0000 0.0000  2 Se 2.57
Au 0.0000 0.0000 0.5000  2 Se 2.57
Nd 0.5083 0.0000 0.7500  4 Se 2.95-2.96, 4 Au 3.22-3.28
Se 0.6662 0.7449 0.9646  1 Au 2.57
Se 0.3338 0.2551 0.0354  1 Au 2.57
K 0.1435 0.5000 0.7500  6 Se 3.37-3.54
K 0.8565 0.5000 0.2500  6 Se 3.37-3.54
Se 0.3338 0.7449 0.4646  1 Au 2.57
Se 0.6662 0.2551 0.5354  1 Au 2.57



# 8
Compound: HoPu2Tc2C4
Source: Alexandria
Functional: GGA-PBE
Structure: relaxed

Output
For the total energy, the calculation gives -90.71 eV for the cell shown. As for the space-group type: C2/m.

a b c (Å): 3.2098 7.4249 5.6807
angles (deg): 110.50 90.00 102.48
Closest atoms and distances in Å follow each position.
Fractional coordinates of all 9 atoms:
Ho 0.0000 0.0000 0.0000  4 C 2.71, 2 Pu 2.88, 4 Tc 3.00
C 0.4809 0.9617 0.3635  1 C 1.45
Pu 0.8614 0.7228 0.4893  7 C 2.45-2.67
Tc 0.3266 0.6532 0.0100  3 C 2.11-2.15
Tc 0.6734 0.3468 0.9900  3 C 2.11-2.15
C 0.2355 0.4711 0.2361  3 Tc 2.11-2.15
C 0.7645 0.5289 0.7639  3 Tc 2.11-2.15
Pu 0.1386 0.2772 0.5107  7 C 2.45-2.67
C 0.5191 0.0383 0.6365  1 C 1.45



# 9
Compound: Tb7MgTl2
Source: Alexandria
Functional: GGA-PBE
Structure: relaxed

Output
For the total energy, the calculation gives -35.27 eV for the cell shown. As for the space-group type: Cmmm.

a b c (Å): 5.3316 8.9442 8.9442
angles (deg): 118.83 90.00 90.00
Closest atoms and distances in Å follow each position.
Fractional coordinates of all 10 atoms:
Tb 0.5000 0.9338 0.7005  2 Tl 3.13-3.33, 2 Tb 3.33-3.40
Tb 0.0000 0.7752 0.2248  2 Tl 2.93
Tb 0.5000 0.0662 0.2995  2 Tl 3.13-3.33, 2 Tb 3.33-3.40
Tb 0.5000 0.2995 0.0662  2 Tl 3.13-3.33, 2 Tb 3.33-3.40
Mg 0.0000 0.0000 0.0000  10 Tb 3.46-3.62
Tl 0.5000 0.6959 0.3041  5 Tb 2.93-3.13
Tb 0.5000 0.7005 0.9338  2 Tl 3.13-3.33, 2 Tb 3.33-3.40
Tl 0.5000 0.3041 0.6959  5 Tb 2.93-3.13
Tb 0.5000 0.5000 0.5000  2 Tl 3.02
Tb 0.0000 0.2248 0.7752  2 Tl 2.93



# 10
Compound: Rb2Na2TcO6
Source: Alexandria
Functional: GGA-PBE
Structure: relaxed

Output
As for the space-group type: C2/m. As for the formation energy (no corrections): -1.353 eV/atom.

a b c (Å): 5.8200 5.8200 6.7322
angles (deg): 100.10 100.10 117.28
Closest atoms and distances in Å follow each position.
Fractional coordinates of all 11 atoms:
O 0.3283 0.0551 0.6737  1 Tc 1.91
O 0.9449 0.6717 0.3263  1 Tc 1.91
O 0.0551 0.3283 0.6737  1 Tc 1.91
Tc 0.0000 0.0000 0.5000  6 O 1.90-1.91
Rb 0.8219 0.1781 0.0000  6 O 2.79-2.99
Rb 0.1781 0.8219 0.0000  6 O 2.79-2.99
Na 0.3418 0.6582 0.5000  6 O 2.39-2.52
O 0.1973 0.1973 0.3323  1 Tc 1.90
O 0.8027 0.8027 0.6677  1 Tc 1.90
O 0.6717 0.9449 0.3263  1 Tc 1.91
Na 0.6582 0.3418 0.5000  6 O 2.39-2.52



# 11
Compound: ZnIr2Os
Source: Alexandria
Functional: GGA-PBE
Structure: relaxed

Output
For the total energy, the calculation gives -28.96 eV for the cell shown. As for the space-group type: Pmmm.

a b c (Å): 2.7795 4.6223 4.5440
angles (deg): 90.00 90.00 90.00
Closest atoms and distances in Å follow each position.
Fractional coordinates of all 4 atoms:
Zn 0.0000 0.5000 0.5000  4 Ir 2.66, 4 Os 2.70, 2 Zn 2.78
Ir 0.5000 0.5000 0.0000  4 Zn 2.66, 6 Ir 2.70-2.78
Ir 0.0000 0.0000 0.0000  4 Os 2.66, 6 Ir 2.70-2.78
Os 0.5000 0.0000 0.5000  4 Ir 2.66, 4 Zn 2.70, 2 Os 2.78



# 12
Compound: CdP3
Source: Alexandria
Functional: GGA-PBE
Structure: relaxed

Output
For the total energy, the calculation gives -15.71 eV for the cell shown. As for the space-group type: Im-3m.

a b c (Å): 4.5146 4.5146 4.5146
angles (deg): 109.47 109.47 109.47
Closest atoms and distances in Å follow each position.
Fractional coordinates of all 4 atoms:
Cd 0.0000 0.0000 0.0000  6 P 2.61
P 0.0000 0.5000 0.5000  4 P 2.61, 2 Cd 2.61
P 0.5000 0.0000 0.5000  4 P 2.61, 2 Cd 2.61
P 0.5000 0.5000 0.0000  2 Cd 2.61, 4 P 2.61



# 13
Compound: PuPa2AgN5
Source: Alexandria
Functional: GGA-PBE
Structure: relaxed

Output
As for the space-group type: Cmc2_1. As for the formation energy (no corrections): -0.903 eV/atom.

a b c (Å): 3.4507 6.8975 11.4203
angles (deg): 90.00 90.00 104.49
Closest atoms and distances in Å follow each position.
Fractional coordinates of all 18 atoms:
N 0.2888 0.5776 0.6485  3 Pa 2.24-2.41, 2 Pu 2.42
Ag 0.5052 0.0104 0.4638  4 N 2.21-2.32
Pa 0.8719 0.7439 0.2053  5 N 2.24-2.50
N 0.7119 0.4238 0.8301  3 Pa 2.31-2.50
Pa 0.1268 0.2536 0.2571  6 N 2.27-2.41
Pu 0.2091 0.4183 0.0005  2 N 2.10-2.16
N 0.5113 0.0227 0.2707  1 Ag 2.21, 2 Pa 2.32
Pu 0.7909 0.5817 0.5005  2 N 2.10-2.16
N 0.3576 0.7151 0.0759  1 Pu 2.16, 1 Ag 2.24, 2 Pa 2.28
Ag 0.4948 0.9896 0.9638  4 N 2.21-2.32
Pa 0.1281 0.2561 0.7053  5 N 2.24-2.50
N 0.4887 0.9773 0.7707  1 Ag 2.21, 2 Pa 2.32
N 0.9358 0.8716 0.5721  1 Pu 2.10, 1 Pa 2.27, 2 Ag 2.32
Pa 0.8732 0.7464 0.7571  6 N 2.27-2.41
N 0.0642 0.1284 0.0721  1 Pu 2.10, 1 Pa 2.27, 2 Ag 2.32
N 0.2881 0.5762 0.3301  3 Pa 2.31-2.50
N 0.6424 0.2849 0.5759  1 Pu 2.16, 1 Ag 2.24, 2 Pa 2.28
N 0.7112 0.4224 0.1485  3 Pa 2.24-2.41, 2 Pu 2.42



# 14
Compound: Pr5Nd4Sc
Source: Alexandria
Functional: GGA-PBE
Structure: relaxed

Output
For the total energy, the calculation gives -49.03 eV for the cell shown. As for the space-group type: P4/mmm.

a b c (Å): 3.6907 3.6907 25.4993
angles (deg): 90.00 90.00 90.00
Closest atoms and distances in Å follow each position.
Fractional coordinates of all 10 atoms:
Nd 0.0000 0.0000 0.6028  4 Nd 3.69, 8 Pr 3.70
Nd 0.0000 0.0000 0.1916  8 Pr 3.69-3.70, 4 Nd 3.69
Pr 0.5000 0.5000 0.2944  4 Pr 3.69, 8 Nd 3.70
Pr 0.5000 0.5000 0.5000  4 Pr 3.69, 8 Nd 3.70
Nd 0.0000 0.0000 0.8084  8 Pr 3.69-3.70, 4 Nd 3.69
Pr 0.5000 0.5000 0.9106  4 Sc 3.47, 4 Nd 3.69, 4 Pr 3.69
Sc 0.0000 0.0000 0.0000  8 Pr 3.47, 4 Sc 3.69
Pr 0.5000 0.5000 0.0894  4 Sc 3.47, 4 Nd 3.69, 4 Pr 3.69
Pr 0.5000 0.5000 0.7056  4 Pr 3.69, 8 Nd 3.70
Nd 0.0000 0.0000 0.3972  4 Nd 3.69, 8 Pr 3.70



# 15
Compound: HI3Cl
Source: Alexandria
Functional: GGA-PBE
Structure: relaxed

Output
For the total energy, the calculation gives -19.53 eV for the cell shown. As for the space-group type: P1.

a b c (Å): 11.3465 8.4545 10.8083
angles (deg): 90.37 156.02 89.65
Closest atoms and distances in Å follow each position.
Fractional coordinates of all 10 atoms:
I 0.6166 0.9266 0.5812  1 Cl 2.52
I 0.1166 0.4256 0.0809  1 Cl 2.52
I 0.6490 0.4281 0.8042  1 I 2.85
Cl 0.5331 0.4246 0.3300  1 I 2.52
I 0.0573 0.4690 0.5355  1 H 1.66
H 0.7661 0.7246 0.2447  1 I 1.66
Cl 0.0331 0.9256 0.8303  1 I 2.52
I 0.5572 0.8845 0.0357  1 H 1.66
I 0.1490 0.9264 0.3044  1 I 2.85
H 0.2658 0.6289 0.7453  1 I 1.66



# 16
Compound: SmSc5Al4
Source: Alexandria
Functional: GGA-PBE
Structure: relaxed

Output
For the total energy, the calculation gives -54.85 eV for the cell shown. As for the space-group type: P4/mmm.

a b c (Å): 3.3705 3.3705 18.6824
angles (deg): 90.00 90.00 90.00
Closest atoms and distances in Å follow each position.
Fractional coordinates of all 10 atoms:
Sc 0.5000 0.5000 0.3184  8 Al 2.92-2.94
Sm 0.0000 0.0000 0.0000  4 Sm 3.37, 8 Sc 3.46
Al 0.0000 0.0000 0.2259  8 Sc 2.93-2.94
Sc 0.5000 0.5000 0.8658  4 Al 2.93
Sc 0.5000 0.5000 0.1342  4 Al 2.93
Sc 0.5000 0.5000 0.5000  8 Al 2.93
Sc 0.5000 0.5000 0.6816  8 Al 2.92-2.94
Al 0.0000 0.0000 0.4090  8 Sc 2.92-2.93
Al 0.0000 0.0000 0.7741  8 Sc 2.93-2.94
Al 0.0000 0.0000 0.5910  8 Sc 2.92-2.93